(1)
3
Lattice="-1.8519 1.8519 4.9050 1.8519 -1.8519 4.9050 1.8519 1.8519 -4.9050" Properties=species:S:1:pos:R:3 comment="LiLaAu (meta-GGA SCAN, single point on PBEsol structure)" polymorph_energy_ev_per_fu=0.293 pbc="T T T"
Li 0.0000 0.0000 0.0000
La 0.0000 0.0000 2.8845
Au 0.0000 0.0000 6.0870



(2)
5
Lattice="4.7640 0.0000 0.0000 0.0000 4.7640 0.0000 0.0000 0.0000 4.7640" Properties=species:S:1:pos:R:3 comment="BeGeAu3 (meta-GGA SCAN, single point on PBEsol structure)" e_tot_ev_per_atom=-45.408 pbc="T T T"
Be 0.0000 0.0000 0.0000
Ge 2.3820 2.3820 2.3820
Au 0.0000 2.3820 2.3820
Au 2.3820 0.0000 2.3820
Au 2.3820 2.3820 0.0000



(3)
4
Lattice="2.1362 1.2333 6.9453 -2.1362 1.2333 6.9453 0.0000 -2.4666 6.9453" Properties=species:S:1:pos:R:3 comment="CaLaAu2 (meta-GGA SCAN, single point on PBEsol structure)" e_tot_ev_per_atom=-48.719 pbc="T T T"
Ca 0.0000 0.0000 0.0000
La 0.0000 0.0000 10.4179
Au 0.0000 0.0000 5.2374
Au 0.0000 0.0000 15.5983



(4)
4
Lattice="-1.5843 1.6650 6.2926 1.5843 -1.6650 6.2926 1.5843 1.6650 -6.2926" Properties=species:S:1:pos:R:3 comment="LiFeSe2 (meta-GGA SCAN, single point on PBEsol structure)" e_form_raw_ev_per_atom=-0.464 pbc="T T T"
Li 0.0000 0.0000 0.0000
Fe 0.0000 1.6650 3.0509
Se 1.5843 0.0000 4.1251
Se 0.0000 0.0000 7.5557



These records have D(E_F) values of 0.53, 0.40, 0.50, 0.59 states/eV/atom, in the order they appear.